a) Material: ZnFe2Ni2
Method: DFT, PBE-GGA
State: optimized geometry

Unit cell a=6.9291 b=6.9291 c=2.5888 alpha=90.00 beta=90.00 gamma=90.00
Fractional coordinates of all 10 atoms:
Fe (0.8323, 0.3323, 0.5000)
Fe (0.6677, 0.8323, 0.5000)
Fe (0.1677, 0.6677, 0.5000)
Fe (0.3323, 0.1677, 0.5000)
Ni (0.8725, 0.6275, 0.0000)
Ni (0.1275, 0.3725, 0.0000)
Ni (0.3725, 0.8725, 0.0000)
Ni (0.6275, 0.1275, 0.0000)
Zn (0.5000, 0.5000, 0.0000)
Zn (0.0000, 0.0000, 0.0000)

Values from the calculation:
Fermi-level density of states   0.56 states/eV/atom
SG   P4/mbm (127)
Density   7.9 Mg/m³



b) Material: ZnFe2Ni2
Method: DFT, PBE-GGA
State: optimized geometry

Unit cell a=7.0085 b=7.0085 c=2.5398 alpha=90.00 beta=90.00 gamma=90.00
Fractional coordinates of all 10 atoms:
Ni (0.1734, 0.6734, 0.5000)
Ni (0.3266, 0.1734, 0.5000)
Ni (0.6734, 0.8266, 0.5000)
Ni (0.8266, 0.3266, 0.5000)
Fe (0.3786, 0.8786, 0.0000)
Fe (0.6214, 0.1214, 0.0000)
Fe (0.8786, 0.6214, 0.0000)
Fe (0.1214, 0.3786, 0.0000)
Zn (0.5000, 0.5000, 0.0000)
Zn (0.0000, 0.0000, 0.0000)

Values from the calculation:
Fermi-level density of states   0.96 states/eV/atom
SG   P4/mbm (127)
Density   7.8 Mg/m³



Energies, relative to the best one, in kJ/mol of atoms: a) 0.0; b) 5.3.



a) Material: ZnFeNi3
Method: DFT, PBE-GGA
State: optimized geometry

Unit cell a=4.2830 b=4.2830 c=4.2830 alpha=90.00 beta=90.00 gamma=90.00
Fractional coordinates of all 5 atoms:
Zn (0.5000, 0.5000, 0.5000)
Ni (0.5000, 0.0000, 0.0000)
Ni (0.0000, 0.0000, 0.5000)
Ni (0.0000, 0.5000, 0.0000)
Fe (0.0000, 0.0000, 0.0000)

Values from the calculation:
Fermi-level density of states   0.96 states/eV/atom
SG   Pm-3m (221)
Density   6.3 Mg/m³



b) Material: ZnFeNi3
Method: DFT, PBE-GGA
State: optimized geometry

Unit cell a=4.2750 b=4.2750 c=4.2750 alpha=90.00 beta=90.00 gamma=90.00
Fractional coordinates of all 5 atoms:
Fe (0.5000, 0.5000, 0.5000)
Zn (0.0000, 0.0000, 0.0000)
Ni (0.0000, 0.0000, 0.5000)
Ni (0.5000, 0.0000, 0.0000)
Ni (0.0000, 0.5000, 0.0000)

Values from the calculation:
Fermi-level density of states   3.74 states/eV/atom
SG   Pm-3m (221)
Density   6.3 Mg/m³



Energies, relative to the best one, in kJ/mol of atoms: a) 0.0; b) 15.8.



a) Material: ZnFeNi6
Method: DFT, PBE-GGA
State: optimized geometry

Unit cell a=6.1595 b=6.1595 c=10.0536 alpha=90.00 beta=90.00 gamma=109.52
Fractional coordinates of all 32 atoms:
Fe (0.2507, 0.7493, 0.7500)
Fe (0.5000, 0.5000, 0.0014)
Fe (0.5000, 0.5000, 0.4986)
Fe (0.7493, 0.2507, 0.7500)
Ni (0.7484, 0.2516, 0.9966)
Ni (0.7484, 0.2516, 0.5034)
Ni (0.5000, 0.5000, 0.2500)
Ni (0.8732, 0.6216, 0.6267)
Ni (0.8713, 0.6226, 0.1231)
Ni (0.8732, 0.6216, 0.8733)
Ni (0.3774, 0.1287, 0.1231)
Ni (0.6226, 0.8713, 0.3769)
Ni (0.1287, 0.3774, 0.3769)
Ni (0.6216, 0.8732, 0.8733)
Ni (0.3784, 0.1268, 0.8733)
Ni (0.0000, 0.0000, 0.2500)
Ni (0.2516, 0.7484, 0.9966)
Ni (0.8713, 0.6226, 0.3769)
Ni (0.3774, 0.1287, 0.3769)
Ni (0.1287, 0.3774, 0.1231)
Ni (0.6226, 0.8713, 0.1231)
Ni (0.1268, 0.3784, 0.6267)
Ni (0.3784, 0.1268, 0.6267)
Ni (0.5000, 0.5000, 0.7500)
Ni (0.0000, 0.0000, 0.7500)
Ni (0.2516, 0.7484, 0.5034)
Ni (0.1268, 0.3784, 0.8733)
Ni (0.6216, 0.8732, 0.6267)
Zn (0.0000, 0.0000, 0.0002)
Zn (0.2490, 0.7510, 0.2500)
Zn (0.7510, 0.2490, 0.2500)
Zn (0.0000, 0.0000, 0.4998)

Values from the calculation:
Fermi-level density of states   0.71 states/eV/atom
SG   Cmmm (65)
Density   8.7 Mg/m³



b) Material: ZnFeNi6
Method: DFT, PBE-GGA
State: optimized geometry

Unit cell a=4.2706 b=4.2706 c=6.3424 alpha=75.43 beta=75.43 gamma=68.00
Fractional coordinates of all 8 atoms:
Ni (0.4617, 0.9412, 0.7027)
Ni (0.9412, 0.4617, 0.7027)
Ni (0.5383, 0.0588, 0.2973)
Ni (0.0588, 0.5383, 0.2973)
Ni (0.6334, 0.6334, 0.0738)
Ni (0.3666, 0.3666, 0.9262)
Fe (0.0000, 0.0000, 0.0000)
Zn (0.5000, 0.5000, 0.5000)

Values from the calculation:
Fermi-level density of states   1.35 states/eV/atom
SG   C2/m (12)
Density   7.7 Mg/m³



Energies, relative to the best one, in kJ/mol of atoms: a) 0.0; b) 30.9.



a) Material: ZnFeNi5
Method: DFT, PBE-GGA
State: optimized geometry

Unit cell a=3.5248 b=3.5248 c=6.9299 alpha=90.00 beta=90.00 gamma=90.00
Fractional coordinates of all 7 atoms:
Ni (0.0000, 0.5000, 0.7503)
Ni (0.5000, 0.0000, 0.2497)
Ni (0.5000, 0.0000, 0.7503)
Ni (0.5000, 0.5000, 0.5000)
Ni (0.0000, 0.5000, 0.2497)
Fe (0.0000, 0.0000, 0.5000)
Zn (0.5000, 0.5000, 0.0000)

Values from the calculation:
Fermi-level density of states   0.85 states/eV/atom
SG   P4/mmm (123)
Density   8.0 Mg/m³



b) Material: ZnFeNi5
Method: DFT, PBE-GGA
State: optimized geometry

Unit cell a=8.1591 b=4.5296 c=5.2269 alpha=115.68 beta=141.31 gamma=90.00
Fractional coordinates of all 7 atoms:
Ni (0.9631, 0.7584, 0.5168)
Ni (0.9243, 0.2456, 0.0000)
Ni (0.4464, 0.2416, 0.4832)
Ni (0.1759, 0.5000, 0.0000)
Ni (0.9243, 0.7544, 0.0000)
Fe (0.6440, 0.0000, 0.0000)
Zn (0.4527, 0.5000, 0.0000)

Values from the calculation:
Fermi-level density of states   1.28 states/eV/atom
SG   Imm2 (44)
Density   7.9 Mg/m³



Energies, relative to the best one, in kJ/mol of atoms: a) 0.0; b) 13.8.



a) Material: Zn2Fe2Ni
Method: DFT, PBE-GGA
State: optimized geometry

Unit cell a=6.6794 b=6.6794 c=2.9200 alpha=90.00 beta=90.00 gamma=90.00
Fractional coordinates of all 10 atoms:
Zn (0.8661, 0.6339, 0.0000)
Zn (0.6339, 0.1339, 0.0000)
Zn (0.3661, 0.8661, 0.0000)
Zn (0.1339, 0.3661, 0.0000)
Fe (0.3334, 0.1666, 0.5000)
Fe (0.6666, 0.8334, 0.5000)
Fe (0.1666, 0.6666, 0.5000)
Fe (0.8334, 0.3334, 0.5000)
Ni (0.0000, 0.0000, 0.0000)
Ni (0.5000, 0.5000, 0.0000)

Values from the calculation:
Fermi-level density of states   1.00 states/eV/atom
SG   P4/mbm (127)
Density   7.7 Mg/m³



b) Material: Zn2Fe2Ni
Method: DFT, PBE-GGA
State: optimized geometry

Unit cell a=7.0760 b=7.0760 c=2.6256 alpha=90.00 beta=90.00 gamma=90.00
Fractional coordinates of all 10 atoms:
Fe (0.1152, 0.3848, 0.0000)
Fe (0.3848, 0.8848, 0.0000)
Fe (0.6152, 0.1152, 0.0000)
Fe (0.8848, 0.6152, 0.0000)
Zn (0.8181, 0.3181, 0.5000)
Zn (0.1819, 0.6819, 0.5000)
Zn (0.3181, 0.1819, 0.5000)
Zn (0.6819, 0.8181, 0.5000)
Ni (0.0000, 0.0000, 0.0000)
Ni (0.5000, 0.5000, 0.0000)

Values from the calculation:
Fermi-level density of states   0.74 states/eV/atom
SG   P4/mbm (127)
Density   7.6 Mg/m³



Energies, relative to the best one, in kJ/mol of atoms: a) 0.7; b) 0.0.



a) Material: Np4Fe
Method: DFT, PBE-GGA
State: optimized geometry

Unit cell a=6.7467 b=6.7467 c=6.7467 alpha=60.00 beta=60.00 gamma=60.00
Fractional coordinates of all 10 atoms:
Np (0.3960, 0.3960, 0.3960)
Np (0.8540, 0.8540, 0.8540)
Np (0.3960, 0.3960, 0.8120)
Np (0.3960, 0.8120, 0.3960)
Np (0.4380, 0.8540, 0.8540)
Np (0.8540, 0.8540, 0.4380)
Np (0.8120, 0.3960, 0.3960)
Np (0.8540, 0.4380, 0.8540)
Fe (0.2500, 0.2500, 0.2500)
Fe (0.0000, 0.0000, 0.0000)

Values from the calculation:
Fermi-level density of states   3.33 states/eV/atom
SG   Fd-3m (227)
Density   15.4 Mg/m³



b) Material: Np4Fe
Method: DFT, PBE-GGA
State: optimized geometry

Unit cell a=4.9190 b=4.9190 c=4.9190 alpha=90.00 beta=90.00 gamma=90.00
Fractional coordinates of all 5 atoms:
Np (0.0000, 0.0000, 0.0000)
Np (0.5000, 0.5000, 0.0000)
Np (0.5000, 0.0000, 0.5000)
Np (0.0000, 0.5000, 0.5000)
Fe (0.5000, 0.5000, 0.5000)

Values from the calculation:
Fermi-level density of states   6.33 states/eV/atom
SG   Pm-3m (221)
Density   14.0 Mg/m³



Energies, relative to the best one, in kJ/mol of atoms: a) 0.0; b) 9.1.



a) Material: NpFeP2
Method: DFT, PBE-GGA
State: optimized geometry

Unit cell a=3.8372 b=3.8400 c=5.2042 alpha=111.65 beta=111.64 gamma=89.99
Fractional coordinates of all 4 atoms:
Np (0.2214, 0.8811, 0.2283)
Fe (0.4714, 0.6313, 0.7284)
P (0.5919, 0.2517, 0.9693)
P (0.8506, 0.5105, 0.4868)

Values from the calculation:
Fermi-level density of states   1.61 states/eV/atom
SG   I-4m2 (119)
Density   9.0 Mg/m³



b) Material: NpFeP2
Method: DFT, PBE-GGA
State: optimized geometry

Unit cell a=3.6670 b=3.6669 c=18.9706 alpha=90.00 beta=90.00 gamma=90.00
Fractional coordinates of all 16 atoms:
Np (0.2500, 0.7492, 0.6167)
Np (0.2500, 0.7508, 0.1167)
Np (0.7500, 0.2492, 0.8833)
Np (0.7500, 0.2508, 0.3833)
P (0.2500, 0.2494, 0.5000)
P (0.2500, 0.7490, 0.8158)
P (0.7500, 0.2490, 0.6842)
P (0.7500, 0.2510, 0.1842)
P (0.2500, 0.7510, 0.3158)
P (0.2500, 0.2506, 0.0000)
P (0.7500, 0.7494, 0.0000)
P (0.7500, 0.7506, 0.5000)
Fe (0.7500, 0.7490, 0.7500)
Fe (0.2500, 0.2490, 0.7500)
Fe (0.2500, 0.2510, 0.2500)
Fe (0.7500, 0.7510, 0.2500)

Values from the calculation:
Fermi-level density of states   1.73 states/eV/atom
SG   Pnma (62)
Density   9.2 Mg/m³



Energies, relative to the best one, in kJ/mol of atoms: a) 6.8; b) 0.0.



a) Material: PmNpFe2
Method: DFT, PBE-GGA
State: optimized geometry

Unit cell a=3.2769 b=3.2769 c=7.0309 alpha=90.00 beta=90.00 gamma=90.00
Fractional coordinates of all 4 atoms:
Pm (0.5000, 0.5000, 0.5000)
Fe (0.0000, 0.0000, 0.1913)
Fe (0.0000, 0.0000, 0.8087)
Np (0.5000, 0.5000, 0.0000)

Values from the calculation:
Fermi-level density of states   1.20 states/eV/atom
SG   P4/mmm (123)
Density   10.9 Mg/m³



b) Material: PmNpFe2
Method: DFT, PBE-GGA
State: optimized geometry

Unit cell a=4.3783 b=7.3749 c=9.5760 alpha=90.00 beta=90.00 gamma=90.00
Fractional coordinates of all 16 atoms:
Pm (0.2500, 0.4038, 0.6243)
Pm (0.7500, 0.5962, 0.3757)
Pm (0.7500, 0.0962, 0.1243)
Pm (0.2500, 0.9038, 0.8757)
Fe (0.2500, 0.2980, 0.3151)
Fe (0.2500, 0.3115, 0.9296)
Fe (0.7500, 0.2020, 0.8151)
Fe (0.2500, 0.7980, 0.1849)
Fe (0.7500, 0.6885, 0.0704)
Fe (0.2500, 0.8115, 0.5704)
Fe (0.7500, 0.1885, 0.4296)
Fe (0.7500, 0.7020, 0.6849)
Np (0.2500, 0.4404, 0.1247)
Np (0.7500, 0.0596, 0.6247)
Np (0.7500, 0.5596, 0.8753)
Np (0.2500, 0.9404, 0.3753)

Values from the calculation:
Fermi-level density of states   1.43 states/eV/atom
SG   Pnma (62)
Density   10.6 Mg/m³



Energies, relative to the best one, in kJ/mol of atoms: a) 12.2; b) 0.0.



a) Material: Pu2NpFe
Method: DFT, PBE-GGA
State: optimized geometry

Unit cell a=4.5682 b=4.5682 c=4.5682 alpha=60.00 beta=60.00 gamma=60.00
Fractional coordinates of all 4 atoms:
Np (0.0000, 0.0000, 0.0000)
Pu (0.2500, 0.2500, 0.2500)
Pu (0.7500, 0.7500, 0.7500)
Fe (0.5000, 0.5000, 0.5000)

Values from the calculation:
SG   Fm-3m (225)
Density   19.2 Mg/m³



b) Material: Pu2NpFe
Method: DFT, PBE-GGA
State: optimized geometry

Unit cell a=2.6860 b=2.6860 c=11.5857 alpha=83.34 beta=83.34 gamma=60.00
Fractional coordinates of all 4 atoms:
Pu (0.9218, 0.9218, 0.2347)
Pu (0.0782, 0.0782, 0.7653)
Np (0.5000, 0.5000, 0.5000)
Fe (0.0000, 0.0000, 0.0000)

Values from the calculation:
Fermi-level density of states   2.46 states/eV/atom
SG   R-3m (166)
Density   18.1 Mg/m³



Energies, relative to the best one, in kJ/mol of atoms: a) 0.0; b) 39.3.



a) Material: PuNpFe
Method: DFT, PBE-GGA
State: optimized geometry

Unit cell a=2.6933 b=4.3730 c=4.3730 alpha=120.00 beta=90.00 gamma=90.00
Fractional coordinates of all 3 atoms:
Pu (0.5949, 0.3333, 0.6667)
Fe (0.0009, 0.0000, 0.0000)
Np (0.4042, 0.6667, 0.3333)

Values from the calculation:
SG   P3m1 (156)
Density   20.0 Mg/m³



b) Material: PuNpFe
Method: DFT, PBE-GGA
State: optimized geometry

Unit cell a=3.6941 b=3.6917 c=8.9770 alpha=95.40 beta=90.00 gamma=120.02
Fractional coordinates of all 6 atoms:
Fe (0.3379, 0.6758, 0.5310)
Fe (0.6621, 0.3242, 0.4690)
Np (0.3919, 0.7838, 0.8707)
Np (0.6081, 0.2162, 0.1293)
Pu (0.2996, 0.5991, 0.2591)
Pu (0.7004, 0.4009, 0.7409)

Values from the calculation:
Fermi-level density of states   1.74 states/eV/atom
SG   C2/m (12)
Density   16.9 Mg/m³



c) Material: PuNpFe
Method: DFT, PBE-GGA
State: optimized geometry

Unit cell a=3.2872 b=3.2872 c=5.1288 alpha=108.69 beta=108.69 gamma=90.00
Fractional coordinates of all 3 atoms:
Np (0.6546, 0.6546, 0.3092)
Pu (0.0163, 0.0163, 0.0326)
Fe (0.3291, 0.3291, 0.6583)

Values from the calculation:
Fermi-level density of states   2.55 states/eV/atom
SG   I4mm (107)
Density   18.0 Mg/m³



Energies, relative to the best one, in kJ/mol of atoms: a) 0.0; b) 9.6; c) 12.5.



a) Material: NpFeRu
Method: DFT, PBE-GGA
State: optimized geometry

Unit cell a=2.8275 b=4.3959 c=4.3959 alpha=120.00 beta=90.00 gamma=90.00
Fractional coordinates of all 3 atoms:
Ru (0.7220, 0.3333, 0.6667)
Np (0.0148, 0.0000, 0.0000)
Fe (0.2632, 0.6667, 0.3333)

Values from the calculation:
Fermi-level density of states   1.63 states/eV/atom
SG   P3m1 (156)
Density   13.8 Mg/m³



b) Material: NpFeRu
Method: DFT, PBE-GGA
State: optimized geometry

Unit cell a=3.4849 b=3.4849 c=9.7259 alpha=79.68 beta=79.68 gamma=60.00
Fractional coordinates of all 6 atoms:
Np (0.5756, 0.5756, 0.2733)
Np (0.4244, 0.4244, 0.7267)
Fe (0.8530, 0.8530, 0.4411)
Fe (0.1470, 0.1470, 0.5589)
Ru (0.3000, 0.3000, 0.0999)
Ru (0.7000, 0.7000, 0.9001)

Values from the calculation:
Fermi-level density of states   1.72 states/eV/atom
SG   R-3m (166)
Density   13.1 Mg/m³



Energies, relative to the best one, in kJ/mol of atoms: a) 0.0; b) 18.2.